(1)
First-principles (PBE-GGA) data for BaCd2Pb3 after structural relaxation, as listed in Alexandria via LeMat-Bulk.

Values from the calculation:
Magnetization = 0.00 Bohr magnetons per cell
Fermi-level density of states = 8.62 states/eV per cell
ΔE_f = -0.191 eV per atom
Polymorph energy (0 for the lowest one) = 41 meV/atom

Unit cell a=5.001 b=5.001 c=16.312 alpha=98.82 beta=98.82 gamma=90.00
Sites, in units of the cell vectors:
1 Ba 0.849 0.849 0.698
2 Ba 0.151 0.151 0.302
3 Cd 0.250 0.750 0.500
4 Cd 0.750 0.250 0.500
5 Cd 0.396 0.396 0.791
6 Cd 0.604 0.604 0.209
7 Pb 0.451 0.951 0.901
8 Pb 0.951 0.451 0.901
9 Pb 0.549 0.049 0.099
10 Pb 0.304 0.304 0.608
11 Pb 0.696 0.696 0.392
12 Pb 0.049 0.549 0.099

***

(2)
First-principles (PBE-GGA) data for Ba2CdPb after structural relaxation, as listed in Alexandria via LeMat-Bulk.

Values from the calculation:
Magnetization = 0.00 Bohr magnetons per cell
Fermi-level density of states = 5.42 states/eV per cell
ΔE_f = -0.210 eV per atom
Polymorph energy (0 for the lowest one) = 281 meV/atom

Unit cell a=10.600 b=10.600 c=10.600 alpha=24.27 beta=24.27 gamma=24.27
Sites, in units of the cell vectors:
1 Pb 0.750 0.750 0.750
2 Ba 0.002 0.002 0.002
3 Ba 0.498 0.498 0.498
4 Cd 0.250 0.250 0.250

***

Q: Number 1 is which compound?
A: BaCd2Pb3

***

Please write out number 1 again, unchanged.
First-principles (PBE-GGA) data for BaCd2Pb3 after structural relaxation, as listed in Alexandria via LeMat-Bulk.

Values from the calculation:
Magnetization = 0.00 Bohr magnetons per cell
Fermi-level density of states = 8.62 states/eV per cell
ΔE_f = -0.191 eV per atom
Polymorph energy (0 for the lowest one) = 41 meV/atom

Unit cell a=5.001 b=5.001 c=16.312 alpha=98.82 beta=98.82 gamma=90.00
Sites, in units of the cell vectors:
1 Ba 0.849 0.849 0.698
2 Ba 0.151 0.151 0.302
3 Cd 0.250 0.750 0.500
4 Cd 0.750 0.250 0.500
5 Cd 0.396 0.396 0.791
6 Cd 0.604 0.604 0.209
7 Pb 0.451 0.951 0.901
8 Pb 0.951 0.451 0.901
9 Pb 0.549 0.049 0.099
10 Pb 0.304 0.304 0.608
11 Pb 0.696 0.696 0.392
12 Pb 0.049 0.549 0.099

***

Q: Look up the ΔE_f of the second one.
A: -0.210 eV per atom

***

Q: Which formula does entry 2 have?
A: Ba2CdPb